Record 1
Material: Sc5TiPt6
Method: DFT, GGA-PBE
State: optimized geometry

- Volume: 17.73 Å³ per atom
- Total moment: 0.000 μB per cell
- Calculated formation energy: -1157 meV per atom

Cell and atoms, written as CIF:
```
data_Sc5TiPt6
_cell_length_a 8.043
_cell_length_b 13.972
_cell_length_c 4.621
_cell_angle_alpha 90.00
_cell_angle_beta 124.99
_cell_angle_gamma 90.00
_symmetry_space_group_name_H-M 'C 1 2/m 1'
_symmetry_Int_Tables_number 12
loop_
_symmetry_equiv_pos_as_xyz
'x,y,z'
'-x,-y,-z'
'-x,y,-z'
'x,-y,z'
'x+1/2,y+1/2,z'
'-x+1/2,-y+1/2,-z'
'-x+1/2,y+1/2,-z'
'x+1/2,-y+1/2,z'
loop_
_atom_site_label
_atom_site_fract_x
_atom_site_fract_y
_atom_site_fract_z
_atom_site_occupancy
Sc1 0.000 0.000 0.000 1
Sc2 0.000 0.165 0.500 1
Sc3 0.000 0.329 0.000 1
Ti1 0.000 0.500 0.500 1
Pt1 0.231 0.500 0.231 1
Pt2 0.240 0.343 0.740 1
```

---

Record 2
Material: ScTi4Pt5
Method: DFT, GGA-PBE
State: optimized geometry

- Volume: 15.96 Å³ per atom
- Total moment: 1.681 μB per cell
- Calculated formation energy: -927 meV per atom

Cell and atoms, written as CIF:
```
data_ScTi4Pt5
_cell_length_a 2.883
_cell_length_b 2.883
_cell_length_c 19.203
_cell_angle_alpha 90.00
_cell_angle_beta 90.00
_cell_angle_gamma 90.00
_symmetry_space_group_name_H-M 'P 4/m m m'
_symmetry_Int_Tables_number 123
_symmetry_space_group_name_Hall '-P 4 2'
loop_
_atom_site_label
_atom_site_fract_x
_atom_site_fract_y
_atom_site_fract_z
_atom_site_occupancy
Sc1 0.000 0.000 0.000 1
Ti1 0.000 0.000 0.202 1
Ti2 0.000 0.000 0.401 1
Pt1 0.500 0.500 0.105 1
Pt2 0.500 0.500 0.301 1
Pt3 0.500 0.500 0.500 1
```

---

Record 3
Material: ScTiPt2
Method: DFT, GGA-PBE
State: optimized geometry

- Volume: 16.81 Å³ per atom
- Total moment: 0.001 μB per cell
- Calculated formation energy: -1046 meV per atom

Cell and atoms, written as CIF:
```
data_ScTiPt2
_cell_length_a 6.886
_cell_length_b 2.914
_cell_length_c 6.701
_cell_angle_alpha 90.00
_cell_angle_beta 90.00
_cell_angle_gamma 90.00
_symmetry_space_group_name_H-M 'P m m a'
_symmetry_Int_Tables_number 51
loop_
_symmetry_equiv_pos_as_xyz
'x,y,z'
'-x,-y,-z'
'-x+1/2,-y,z'
'x+1/2,y,-z'
'x+1/2,-y,-z'
'-x+1/2,y,z'
'-x,y,-z'
'x,-y,z'
loop_
_atom_site_label
_atom_site_fract_x
_atom_site_fract_y
_atom_site_fract_z
_atom_site_occupancy
Sc1 0.250 0.000 0.012 1
Ti1 0.250 0.000 0.464 1
Pt1 0.034 0.500 0.728 1
```

---

Record 4
Material: ScTiPt
Method: DFT, GGA-PBE
State: optimized geometry

- Polymorph energy (0 for the lowest one): 0.000 eV/atom
- Volume: 17.78 Å³ per atom
- Total moment: 1.406 μB per cell
- Calculated formation energy: -690 meV per atom

Cell and atoms, written as CIF:
```
data_ScTiPt
_cell_length_a 10.449
_cell_length_b 3.260
_cell_length_c 6.604
_cell_angle_alpha 90.00
_cell_angle_beta 108.49
_cell_angle_gamma 90.00
_symmetry_space_group_name_H-M 'C 1 2/m 1'
_symmetry_Int_Tables_number 12
loop_
_symmetry_equiv_pos_as_xyz
'x,y,z'
'-x,-y,-z'
'-x,y,-z'
'x,-y,z'
'x+1/2,y+1/2,z'
'-x+1/2,-y+1/2,-z'
'-x+1/2,y+1/2,-z'
'x+1/2,-y+1/2,z'
loop_
_atom_site_label
_atom_site_fract_x
_atom_site_fract_y
_atom_site_fract_z
_atom_site_occupancy
Sc1 0.153 0.000 0.320 1
Ti1 0.162 0.000 0.840 1
Pt1 0.000 0.500 0.000 1
Pt2 0.000 0.500 0.500 1
```

---

Record 5
Material: Sc2Ti2Pt
Method: DFT, GGA-PBE
State: optimized geometry

- Volume: 19.81 Å³ per atom
- Total moment: 0.198 μB per cell
- Calculated formation energy: -314 meV per atom

Cell and atoms, written as CIF:
```
data_Sc2Ti2Pt
_cell_length_a 6.563
_cell_length_b 6.563
_cell_length_c 4.598
_cell_angle_alpha 90.00
_cell_angle_beta 90.00
_cell_angle_gamma 90.00
_symmetry_space_group_name_H-M 'P 4/m b m'
_symmetry_Int_Tables_number 127
_symmetry_space_group_name_Hall '-P 4 2ab'
loop_
_atom_site_label
_atom_site_fract_x
_atom_site_fract_y
_atom_site_fract_z
_atom_site_occupancy
Sc1 0.164 0.336 0.000 1
Ti1 0.143 0.643 0.500 1
Pt1 0.000 0.000 0.500 1
```

---

Record 6
Material: Sc4TiPt5
Method: DFT, GGA-PBE
State: optimized geometry

- Volume: 17.57 Å³ per atom
- Total moment: 0.001 μB per cell
- Calculated formation energy: -1146 meV per atom

Cell and atoms, written as CIF:
```
data_Sc4TiPt5
_cell_length_a 3.225
_cell_length_b 3.225
_cell_length_c 16.891
_cell_angle_alpha 90.00
_cell_angle_beta 90.00
_cell_angle_gamma 90.00
_symmetry_space_group_name_H-M 'P 4/m m m'
_symmetry_Int_Tables_number 123
_symmetry_space_group_name_Hall '-P 4 2'
loop_
_atom_site_label
_atom_site_fract_x
_atom_site_fract_y
_atom_site_fract_z
_atom_site_occupancy
Sc1 0.000 0.000 0.102 1
Sc2 0.000 0.000 0.304 1
Ti1 0.000 0.000 0.500 1
Pt1 0.500 0.500 0.000 1
Pt2 0.500 0.500 0.202 1
Pt3 0.500 0.500 0.410 1
```